Computed, not measured: a geometry-optimized CeCdPb structure at the PBE-GGA level of DFT.

Cell and atoms, written as POSCAR:
```
CeCdPb
1.0
-3.202 1.211 1.232
1.024 -0.759 3.407
3.542 5.674 -1.742
Ce Pb Cd
1 1 1
direct
0.611 0.611 0.222
0.294 0.294 0.588
0.945 0.945 0.890
```

Results
ΔH_f (0 K) = -0.5 eV per formula unit
Magnetic moment = 1.576 μB per cell
Symmetry = I4mm (107)
Final energy = -11.0 eV/f.u.
Energy above the lowest structure with this stoichiometry = 0.117 eV/atom
Density = 8.992 g/cm³